Entry from the Alexandria database: a relaxed structure of TiCrTe3 (PBEsol).

Computed properties:
* uncorrected formation energy: 0.502 eV/atom
* SG: Pm-3m
* V: 133 Å³ per cell
* DFT total energy: -5.327 eV per atom

Cell and atoms, written as POSCAR:
```
TiCrTe3
1.0
5.104 0.000 0.000
0.000 5.104 0.000
0.000 0.000 5.104
Ti Cr Te
1 1 3
direct
0.000 0.000 0.000
0.500 0.500 0.500
0.000 0.500 0.500
0.500 0.000 0.500
0.500 0.500 0.000
```


Entry from the Alexandria database: a relaxed structure of Ti4CrTe8 (PBEsol).

Computed properties:
* uncorrected formation energy: -0.635 eV/atom
* SG: C2/m
* V: 310 Å³ per cell
* DFT total energy: -6.153 eV per atom

Cell and atoms, written as POSCAR:
```
Ti4CrTe8
1.0
6.281 -3.784 0.000
6.281 3.784 0.000
-6.219 0.000 6.513
Ti Cr Te
4 1 8
direct
0.229 0.771 0.000
0.245 0.245 0.486
0.755 0.755 0.514
0.771 0.229 0.000
0.500 0.500 0.500
0.043 0.555 0.329
0.055 0.055 0.830
0.445 0.957 0.671
0.456 0.456 0.163
0.544 0.544 0.837
0.555 0.043 0.329
0.945 0.945 0.170
0.957 0.445 0.671
```


Entry from the Alexandria database: a relaxed structure of TlCrTe (PBEsol).

Computed properties:
* uncorrected formation energy: 0.268 eV/atom
* SG: I4mm
* V: 148 Å³ per cell
* DFT total energy: -5.198 eV per atom

Cell and atoms, written as POSCAR:
```
TlCrTe
1.0
3.498 0.000 0.000
0.000 3.498 0.000
0.000 0.000 12.136
Tl Cr Te
2 2 2
direct
0.000 0.000 0.000
0.500 0.500 0.500
0.000 0.000 0.673
0.500 0.500 0.173
0.000 0.000 0.268
0.500 0.500 0.768
```


Entry from the Alexandria database: a relaxed structure of Tl2CrTe (PBEsol).

Computed properties:
* uncorrected formation energy: 0.369 eV/atom
* SG: I-4m2
* V: 203 Å³ per cell
* E above lowest polymorph: 176.0 meV per atom
* DFT total energy: -4.388 eV per atom

Cell and atoms, written as POSCAR:
```
Tl2CrTe
1.0
4.750 0.000 0.000
0.000 4.750 0.000
0.000 0.000 8.975
Tl Cr Te
4 2 2
direct
0.000 0.000 0.000
0.000 0.500 0.250
0.500 0.000 0.750
0.500 0.500 0.500
0.000 0.000 0.500
0.500 0.500 0.000
0.000 0.500 0.750
0.500 0.000 0.250
```


Entry from the Alexandria database: a relaxed structure of Tl2CrTe (PBEsol).

Computed properties:
* uncorrected formation energy: 0.194 eV/atom
* SG: P4mm
* V: 100 Å³ per cell
* E above lowest polymorph: 0.0 meV per atom
* DFT total energy: -4.564 eV per atom

Cell and atoms, written as POSCAR:
```
Tl2CrTe
1.0
3.517 0.000 0.000
0.000 3.517 0.000
0.000 0.000 8.073
Tl Cr Te
2 1 1
direct
0.000 0.000 0.000
0.500 0.500 0.284
0.000 0.000 0.534
0.500 0.500 0.682
```


Entry from the Alexandria database: a relaxed structure of TlCr4Te (PBEsol).

Computed properties:
* uncorrected formation energy: 0.685 eV/atom
* SG: F-43m
* V: 89 Å³ per cell
* DFT total energy: -7.169 eV per atom

Cell and atoms, written as POSCAR:
```
TlCr4Te
1.0
0.000 3.538 3.538
3.538 0.000 3.538
3.538 3.538 0.000
Tl Cr Te
1 4 1
direct
0.000 0.000 0.000
0.372 0.372 0.372
0.372 0.372 0.883
0.372 0.883 0.372
0.883 0.372 0.372
0.750 0.750 0.750
```


Entry from the Alexandria database: a relaxed structure of Tl2CrTe (PBEsol).

Computed properties:
* uncorrected formation energy: 0.290 eV/atom
* SG: Imm2
* V: 205 Å³ per cell
* E above lowest polymorph: 96.0 meV per atom
* DFT total energy: -4.468 eV per atom

Cell and atoms, written as POSCAR:
```
Tl2CrTe
1.0
3.468 0.000 0.000
0.000 4.631 0.000
0.000 0.000 12.773
Tl Cr Te
4 2 2
direct
0.000 0.000 0.000
0.000 0.500 0.180
0.500 0.000 0.680
0.500 0.500 0.500
0.000 0.500 0.715
0.500 0.000 0.215
0.000 0.000 0.372
0.500 0.500 0.872
```


Entry from the Alexandria database: a relaxed structure of YCrTe2 (PBEsol).

Computed properties:
* uncorrected formation energy: -0.385 eV/atom
* SG: I-4m2
* V: 195 Å³ per cell
* DFT total energy: -6.414 eV per atom

Cell and atoms, written as POSCAR:
```
YCrTe2
1.0
4.221 0.000 0.000
0.000 4.221 0.000
0.000 0.000 10.974
Y Cr Te
2 2 4
direct
0.000 0.000 0.000
0.500 0.500 0.500
0.000 0.500 0.250
0.500 0.000 0.750
0.000 0.000 0.500
0.000 0.500 0.750
0.500 0.000 0.250
0.500 0.500 0.000
```